a) # HoRhAu

HoRhAu after structural relaxation (PBE, the Alexandria database).

```
data_HoRhAu
_cell_length_a 4.5706
_cell_length_b 4.5706
_cell_length_c 3.3919
_cell_angle_alpha 90.00
_cell_angle_beta 90.00
_cell_angle_gamma 120.00
_space_group_name_H-M_alt 'P -6 m 2'
_space_group_IT_number 187
_space_group_name_Hall 'P -6 2'
loop_
_atom_site_label
_atom_site_type_symbol
_atom_site_fract_x
_atom_site_fract_y
_atom_site_fract_z
_atom_site_occupancy
Ho1 Ho 0.0000 0.0000 0.0000 1
Rh1 Rh 0.3333 0.6667 0.5000 1
Au1 Au 0.6667 0.3333 0.5000 1
```

Total moment = 0.000 μB/atom

---

b) # HoRhAu

HoRhAu after structural relaxation (PBE, the Alexandria database).

```
data_HoRhAu
_cell_length_a 12.701
_cell_length_b 3.620
_cell_length_c 6.065
_cell_angle_alpha 90.00
_cell_angle_beta 118.52
_cell_angle_gamma 90.00
_space_group_name_H-M_alt 'C 1 2/m 1'
_space_group_IT_number 12
loop_
_space_group_symop_operation_xyz
'x,y,z'
'-x,-y,-z'
'-x,y,-z'
'x,-y,z'
'x+1/2,y+1/2,z'
'-x+1/2,-y+1/2,-z'
'-x+1/2,y+1/2,-z'
'x+1/2,-y+1/2,z'
loop_
_atom_site_label
_atom_site_type_symbol
_atom_site_fract_x
_atom_site_fract_y
_atom_site_fract_z
_atom_site_occupancy
Ho1 Ho 0.156 0.000 0.155 1
Rh1 Rh 0.000 0.500 0.239 1
Au1 Au 0.132 0.000 0.631 1
```

Total moment = 0.000 μB/atom

---

c) # HoRhAu

HoRhAu after structural relaxation (PBE, the Alexandria database).

```
data_HoRhAu
_cell_length_a 4.891
_cell_length_b 8.315
_cell_length_c 5.650
_cell_angle_alpha 90.00
_cell_angle_beta 90.00
_cell_angle_gamma 90.00
_space_group_name_H-M_alt 'C m c m'
_space_group_IT_number 63
_space_group_name_Hall '-C 2c 2'
loop_
_atom_site_label
_atom_site_type_symbol
_atom_site_fract_x
_atom_site_fract_y
_atom_site_fract_z
_atom_site_occupancy
Ho1 Ho 0.000 0.164 0.250 1
Rh1 Rh 0.000 0.173 0.750 1
Au1 Au 0.000 0.500 0.000 1
```

Total moment = 0.000 μB/atom

---

d) # HoRhAu

HoRhAu after structural relaxation (PBE, the Alexandria database).

```
data_HoRhAu
_cell_length_a 3.549
_cell_length_b 3.549
_cell_length_c 9.261
_cell_angle_alpha 90.00
_cell_angle_beta 90.00
_cell_angle_gamma 90.00
_space_group_name_H-M_alt 'I 4 m m'
_space_group_IT_number 107
_space_group_name_Hall 'I 4 -2'
loop_
_atom_site_label
_atom_site_type_symbol
_atom_site_fract_x
_atom_site_fract_y
_atom_site_fract_z
_atom_site_occupancy
Ho1 Ho 0.000 0.000 0.000 1
Rh1 Rh 0.000 0.000 0.344 1
Au1 Au 0.000 0.000 0.677 1
```

Total moment = 0.000 μB/atom

---

Which of them is the least stable? Correct choice: a).

---

a) # Ho7Rh2Au2

Ho7Rh2Au2 after structural relaxation (PBE, the Alexandria database).

```
data_Ho7Rh2Au2
_cell_length_a 3.784
_cell_length_b 15.476
_cell_length_c 9.482
_cell_angle_alpha 90.00
_cell_angle_beta 90.00
_cell_angle_gamma 90.00
_space_group_name_H-M_alt 'I m m 2'
_space_group_IT_number 44
loop_
_space_group_symop_operation_xyz
'x,y,z'
'-x,-y,z'
'-x,y,z'
'x,-y,z'
'x+1/2,y+1/2,z+1/2'
'-x+1/2,-y+1/2,z+1/2'
'-x+1/2,y+1/2,z+1/2'
'x+1/2,-y+1/2,z+1/2'
loop_
_atom_site_label
_atom_site_type_symbol
_atom_site_fract_x
_atom_site_fract_y
_atom_site_fract_z
_atom_site_occupancy
Ho1 Ho 0.000 0.000 0.000 1
Ho2 Ho 0.000 0.119 0.583 1
Ho3 Ho 0.000 0.315 0.383 1
Ho4 Ho 0.000 0.360 0.741 1
Rh1 Rh 0.000 0.244 0.084 1
Au1 Au 0.000 0.000 0.328 1
Au2 Au 0.000 0.500 0.250 1
```

Total moment = 0.000 μB/atom

---

b) # Ho7Rh2Au2

Ho7Rh2Au2 after structural relaxation (PBE, the Alexandria database).

```
data_Ho7Rh2Au2
_cell_length_a 7.846
_cell_length_b 10.675
_cell_length_c 7.009
_cell_angle_alpha 90.00
_cell_angle_beta 90.00
_cell_angle_gamma 90.00
_space_group_name_H-M_alt 'C m m m'
_space_group_IT_number 65
_space_group_name_Hall '-C 2 2'
loop_
_atom_site_label
_atom_site_type_symbol
_atom_site_fract_x
_atom_site_fract_y
_atom_site_fract_z
_atom_site_occupancy
Ho1 Ho 0.000 0.000 0.000 1
Ho2 Ho 0.000 0.500 0.252 1
Ho3 Ho 0.250 0.250 0.258 1
Rh1 Rh 0.000 0.288 0.000 1
Au1 Au 0.193 0.000 0.500 1
```

Total moment = 0.000 μB/atom

---

Which of them is the least stable? Correct choice: b).

---

a) # Ho4Rh2Au

Ho4Rh2Au after structural relaxation (PBE, the Alexandria database).

```
data_Ho4Rh2Au
_cell_length_a 4.8731
_cell_length_b 4.8731
_cell_length_c 23.7647
_cell_angle_alpha 90.00
_cell_angle_beta 90.00
_cell_angle_gamma 120.00
_space_group_name_H-M_alt 'R -3 m'
_space_group_IT_number 166
_space_group_name_Hall '-R 3 2"'
loop_
_atom_site_label
_atom_site_type_symbol
_atom_site_fract_x
_atom_site_fract_y
_atom_site_fract_z
_atom_site_occupancy
Ho1 Ho 0.0000 0.0000 0.1211 1
Ho2 Ho 0.0000 0.0000 0.3721 1
Rh1 Rh 0.0000 0.0000 0.2499 1
Au1 Au 0.0000 0.0000 0.5000 1
```

Total moment = 0.000 μB/atom

---

b) # Ho4Rh2Au

Ho4Rh2Au after structural relaxation (PBE, the Alexandria database).

```
data_Ho4Rh2Au
_cell_length_a 8.584
_cell_length_b 12.551
_cell_length_c 7.428
_cell_angle_alpha 90.00
_cell_angle_beta 125.24
_cell_angle_gamma 90.00
_space_group_name_H-M_alt 'C 1 c 1'
_space_group_IT_number 9
loop_
_space_group_symop_operation_xyz
'x,y,z'
'x,-y,z+1/2'
'x+1/2,y+1/2,z'
'x+1/2,-y+1/2,z+1/2'
loop_
_atom_site_label
_atom_site_type_symbol
_atom_site_fract_x
_atom_site_fract_y
_atom_site_fract_z
_atom_site_occupancy
Ho1 Ho 0.000 0.006 0.000 1
Ho2 Ho 0.207 0.320 0.632 1
Ho3 Ho 0.376 0.257 0.253 1
Ho4 Ho 0.452 0.071 0.621 1
Rh1 Rh 0.077 0.188 0.259 1
Rh2 Rh 0.194 0.439 0.994 1
Au1 Au 0.265 0.125 0.878 1
```

Total moment = 0.000 μB/atom

---

Which of them is the least stable? Correct choice: a).

---

a) # SmHoRhAu

SmHoRhAu after structural relaxation (PBE, the Alexandria database).

```
data_SmHoRhAu
_cell_length_a 4.599
_cell_length_b 3.814
_cell_length_c 10.541
_cell_angle_alpha 90.00
_cell_angle_beta 90.00
_cell_angle_gamma 90.00
_space_group_name_H-M_alt 'A m m 2'
_space_group_IT_number 38
loop_
_space_group_symop_operation_xyz
'x,y,z'
'-x,-y,z'
'-x,y,z'
'x,-y,z'
'x,y+1/2,z+1/2'
'-x,-y+1/2,z+1/2'
'-x,y+1/2,z+1/2'
'x,-y+1/2,z+1/2'
loop_
_atom_site_label
_atom_site_type_symbol
_atom_site_fract_x
_atom_site_fract_y
_atom_site_fract_z
_atom_site_occupancy
Sm1 Sm 0.000 0.000 0.000 1
Ho1 Ho 0.500 0.000 0.720 1
Rh1 Rh 0.000 0.000 0.264 1
Au1 Au 0.500 0.000 0.437 1
```

Total moment = 0.000 μB/atom

---

b) # SmHoRhAu

SmHoRhAu after structural relaxation (PBE, the Alexandria database).

```
data_SmHoRhAu
_cell_length_a 7.095
_cell_length_b 7.095
_cell_length_c 7.095
_cell_angle_alpha 90.00
_cell_angle_beta 90.00
_cell_angle_gamma 90.00
_space_group_name_H-M_alt 'F -4 3 m'
_space_group_IT_number 216
_space_group_name_Hall 'F -4 2 3'
loop_
_atom_site_label
_atom_site_type_symbol
_atom_site_fract_x
_atom_site_fract_y
_atom_site_fract_z
_atom_site_occupancy
Sm1 Sm 0.000 0.000 0.000 1
Ho1 Ho 0.000 0.000 0.500 1
Rh1 Rh 0.250 0.250 0.250 1
Au1 Au 0.250 0.250 0.750 1
```

Total moment = 0.000 μB/atom

---

Which of them is the least stable? Correct choice: b).

---

a) # Ho4RuAu

Ho4RuAu after structural relaxation (PBE, the Alexandria database).

```
data_Ho4RuAu
_cell_length_a 8.947
_cell_length_b 13.026
_cell_length_c 6.247
_cell_angle_alpha 90.00
_cell_angle_beta 120.82
_cell_angle_gamma 90.00
_space_group_name_H-M_alt 'C 1 2/c 1'
_space_group_IT_number 15
loop_
_space_group_symop_operation_xyz
'x,y,z'
'-x,-y,-z'
'-x,y,-z+1/2'
'x,-y,z+1/2'
'x+1/2,y+1/2,z'
'-x+1/2,-y+1/2,-z'
'-x+1/2,y+1/2,-z+1/2'
'x+1/2,-y+1/2,z+1/2'
loop_
_atom_site_label
_atom_site_type_symbol
_atom_site_fract_x
_atom_site_fract_y
_atom_site_fract_z
_atom_site_occupancy
Ho1 Ho 0.119 0.175 0.088 1
Ho2 Ho 0.210 0.434 0.296 1
Ru1 Ru 0.000 0.002 0.750 1
Au1 Au 0.000 0.368 0.750 1
```

Total moment = 0.000 μB/atom

---

b) # Ho4RuAu

Ho4RuAu after structural relaxation (PBE, the Alexandria database).

```
data_Ho4RuAu
_cell_length_a 7.057
_cell_length_b 6.858
_cell_length_c 6.875
_cell_angle_alpha 90.00
_cell_angle_beta 93.04
_cell_angle_gamma 90.00
_space_group_name_H-M_alt 'P 1 21/c 1'
_space_group_IT_number 14
loop_
_space_group_symop_operation_xyz
'x,y,z'
'-x,-y,-z'
'-x,y+1/2,-z+1/2'
'x,-y+1/2,z+1/2'
loop_
_atom_site_label
_atom_site_type_symbol
_atom_site_fract_x
_atom_site_fract_y
_atom_site_fract_z
_atom_site_occupancy
Ho1 Ho 0.154 0.163 0.182 1
Ho2 Ho 0.318 0.661 0.149 1
Ru1 Ru 0.000 0.000 0.500 1
Au1 Au 0.500 0.000 0.000 1
```

Total moment = 0.000 μB/atom

---

Which of them is the least stable? Correct choice: b).